Record 1
# CdPdSF2 (PBE, optimized geometry)
# E_form (uncorrected), eV per atom: -0.63
# ρ, g/cm³: 4.6
# N(E_F), states/eV per cell: 2.5
data_CdPdSF2
_chemical_formula_sum 'Cd1 Pd1 S1 F2'
_symmetry_space_group_name_H-M 'P 4/m m m'
_symmetry_Int_Tables_number 123
_symmetry_space_group_name_Hall '-P 4 2'
_cell_length_a 4.045
_cell_length_b 4.045
_cell_length_c 6.440
_cell_angle_alpha 90.00
_cell_angle_beta 90.00
_cell_angle_gamma 90.00
loop_
_atom_site_label
_atom_site_fract_x
_atom_site_fract_y
_atom_site_fract_z
_atom_site_occupancy
Cd1 0.000 0.000 0.000 1
Pd1 0.000 0.000 0.500 1
S1 0.500 0.500 0.500 1
F1 0.000 0.500 0.000 1

---

Record 2
# SrCdPdF6 (PBE, optimized geometry)
# E_form (uncorrected), eV per atom: -2.39
# ρ, g/cm³: 4.6
data_SrCdPdF6
_chemical_formula_sum 'Sr1 Cd1 Pd1 F6'
_symmetry_space_group_name_H-M 'P 3 1 2'
_symmetry_Int_Tables_number 149
_cell_length_a 5.8192
_cell_length_b 5.8192
_cell_length_c 5.2026
_cell_angle_alpha 90.00
_cell_angle_beta 90.00
_cell_angle_gamma 120.00
loop_
_symmetry_equiv_pos_as_xyz
'x,y,z'
'-y,x-y,z'
'-x+y,-x,z'
'-y,-x,-z'
'-x+y,y,-z'
'x,x-y,-z'
loop_
_atom_site_label
_atom_site_fract_x
_atom_site_fract_y
_atom_site_fract_z
_atom_site_occupancy
Sr1 0.0000 0.0000 0.0000 1
Cd1 0.3333 0.6667 0.5000 1
Pd1 0.6667 0.3333 0.5000 1
F1 0.3495 0.0069 0.7273 1

---

Record 3
# CdTcPd2F (PBE, optimized geometry)
# E_form (uncorrected), eV per atom: 0.81
# ρ, g/cm³: 6.1
# N(E_F), states/eV per cell: 4.4
data_CdTcPd2F
_chemical_formula_sum 'Cd1 Tc1 Pd2 F1'
_symmetry_space_group_name_H-M 'P 4/m m m'
_symmetry_Int_Tables_number 123
_symmetry_space_group_name_Hall '-P 4 2'
_cell_length_a 4.707
_cell_length_b 4.707
_cell_length_c 5.424
_cell_angle_alpha 90.00
_cell_angle_beta 90.00
_cell_angle_gamma 90.00
loop_
_atom_site_label
_atom_site_fract_x
_atom_site_fract_y
_atom_site_fract_z
_atom_site_occupancy
Cd1 0.000 0.000 0.000 1
Tc1 0.000 0.000 0.500 1
Pd1 0.000 0.500 0.500 1
F1 0.500 0.500 0.000 1

---

Record 4
# Cd2TcPdF (PBE, optimized geometry)
# E_form (uncorrected), eV per atom: 0.27
# ρ, g/cm³: 8.0
# N(E_F), states/eV per cell: 3.0
data_Cd2TcPdF
_chemical_formula_sum 'Cd2 Tc1 Pd1 F1'
_symmetry_space_group_name_H-M 'P 4/m m m'
_symmetry_Int_Tables_number 123
_symmetry_space_group_name_Hall '-P 4 2'
_cell_length_a 4.697
_cell_length_b 4.697
_cell_length_c 4.202
_cell_angle_alpha 90.00
_cell_angle_beta 90.00
_cell_angle_gamma 90.00
loop_
_atom_site_label
_atom_site_fract_x
_atom_site_fract_y
_atom_site_fract_z
_atom_site_occupancy
Cd1 0.000 0.500 0.000 1
Tc1 0.000 0.000 0.500 1
Pd1 0.500 0.500 0.500 1
F1 0.500 0.500 0.000 1

---

Record 5
# ZnCdPdF6 (PBE, optimized geometry)
# E_form (uncorrected), eV per atom: -1.85
# ρ, g/cm³: 5.2
data_ZnCdPdF6
_chemical_formula_sum 'Zn2 Cd2 Pd2 F12'
_symmetry_space_group_name_H-M 'P -3 1 c'
_symmetry_Int_Tables_number 163
_symmetry_space_group_name_Hall '-P 3 2c'
_cell_length_a 5.5232
_cell_length_b 5.5232
_cell_length_c 9.6332
_cell_angle_alpha 90.00
_cell_angle_beta 90.00
_cell_angle_gamma 120.00
loop_
_atom_site_label
_atom_site_fract_x
_atom_site_fract_y
_atom_site_fract_z
_atom_site_occupancy
Zn1 0.3333 0.6667 0.2500 1
Cd1 0.0000 0.0000 0.0000 1
Pd1 0.3333 0.6667 0.7500 1
F1 0.0189 0.3522 0.1330 1

---

Record 6
# PmCdF4 (PBE, optimized geometry)
# E_form (uncorrected), eV per atom: -3.03
# ρ, g/cm³: 4.6
# N(E_F), states/eV per cell: 3.8
data_PmCdF4
_chemical_formula_sum 'Pm4 Cd4 F16'
_symmetry_space_group_name_H-M 'I 41 m d'
_symmetry_Int_Tables_number 109
_symmetry_space_group_name_Hall 'I 4bw -2'
_cell_length_a 7.770
_cell_length_b 7.770
_cell_length_c 8.023
_cell_angle_alpha 90.00
_cell_angle_beta 90.00
_cell_angle_gamma 90.00
loop_
_atom_site_label
_atom_site_fract_x
_atom_site_fract_y
_atom_site_fract_z
_atom_site_occupancy
Pm1 0.000 0.000 0.000 1
Cd1 0.000 0.000 0.536 1
F1 0.000 0.190 0.784 1
F2 0.000 0.209 0.203 1